# KRu3S

KRu3S at its PBEsol-relaxed geometry (SCAN, Alexandria).

POSCAR file:
```
KRu3S
1.0
4.401 0.000 0.000
0.000 4.401 0.000
0.000 0.000 4.401
Ru K S
3 1 1
Direct
0.000 0.500 0.000 Ru
0.000 0.000 0.500 Ru
0.500 0.000 0.000 Ru
0.500 0.500 0.500 K
0.000 0.000 0.000 S
```

Summary:
Its space group is No. 221. The value obtained for the total energy is -23.75 eV/atom. Its uncorrected formation energy is 3.7 eV/f.u.

# KScRu2

KScRu2 at its PBEsol-relaxed geometry (SCAN, Alexandria).

POSCAR file:
```
KScRu2
1.0
-0.503 -4.338 1.529
1.663 -1.199 4.148
-2.906 -0.902 3.485
K Ru Sc
1 2 1
Direct
0.000 0.000 0.000 K
0.250 0.250 0.250 Ru
0.750 0.750 0.750 Ru
0.500 0.500 0.500 Sc
```

Summary:
Its space group is No. 225. The calculation puts the energy above the most stable polymorph in this dataset at 658 meV/atom. The value obtained for the total energy is -22.09 eV/atom. The calculation puts the formation enthalpy at 0 K at 92.9 kJ/mol of atoms.

# KScRu2

KScRu2 at its PBEsol-relaxed geometry (SCAN, Alexandria).

POSCAR file:
```
KScRu2
1.0
2.914 0.000 0.033
0.000 3.700 0.000
-0.154 0.000 8.538
K Ru Sc
1 2 1
Direct
0.491 0.500 0.800 K
0.001 0.000 0.100 Ru
0.503 0.500 0.211 Ru
0.005 0.000 0.389 Sc
```

Summary:
Its space group is No. 6. The calculation puts the energy above the most stable polymorph in this dataset at 0 meV/atom. The value obtained for the total energy is -22.75 eV/atom. The calculation puts the formation enthalpy at 0 K at 29.4 kJ/mol of atoms.

# KScRu

KScRu at its PBEsol-relaxed geometry (SCAN, Alexandria).

POSCAR file:
```
KScRu
1.0
-1.567 -2.337 -1.730
2.829 -0.771 -1.521
0.772 -3.042 6.564
K Ru Sc
1 1 1
Direct
0.024 0.024 0.047 K
0.698 0.698 0.396 Ru
0.278 0.278 0.556 Sc
```

Summary:
Its space group is No. 107. The value obtained for the total energy is -18.87 eV/atom. The calculation puts the formation enthalpy at 0 K at 24.7 kJ/mol of atoms.

# KScRu2

KScRu2 at its PBEsol-relaxed geometry (SCAN, Alexandria).

POSCAR file:
```
KScRu2
1.0
-0.442 -1.934 1.951
5.148 1.427 1.046
-3.868 3.639 1.195
K Ru Sc
1 2 1
Direct
0.500 0.500 0.500 K
0.000 0.500 0.000 Ru
0.000 0.000 0.500 Ru
0.500 0.000 0.000 Sc
```

Summary:
Its space group is No. 12. The calculation puts the energy above the most stable polymorph in this dataset at 621 meV/atom. The value obtained for the total energy is -22.13 eV/atom. The calculation puts the formation enthalpy at 0 K at 89.4 kJ/mol of atoms.

# KSc2Ru

KSc2Ru at its PBEsol-relaxed geometry (SCAN, Alexandria).

POSCAR file:
```
KSc2Ru
1.0
-2.828 1.000 -1.174
-0.854 -3.887 -1.252
-1.832 -0.157 8.694
K Ru Sc
1 1 2
Direct
0.580 0.580 0.161 K
0.275 0.775 0.550 Ru
0.891 0.891 0.781 Sc
0.754 0.254 0.507 Sc
```

Summary:
Its space group is No. 44. The value obtained for the total energy is -17.81 eV/atom. The calculation puts the formation enthalpy at 0 K at 9.5 kJ/mol of atoms.

# KSrScRu2

KSrScRu2 at its PBEsol-relaxed geometry (SCAN, Alexandria).

POSCAR file:
```
KSrScRu2
1.0
4.760 0.000 0.000
0.000 4.760 0.000
0.000 0.000 5.365
Sc Ru K Sr
1 2 1 1
Direct
0.000 0.000 0.000 Sc
0.000 0.500 0.000 Ru
0.500 0.000 0.000 Ru
0.000 0.000 0.500 K
0.500 0.500 0.500 Sr
```

Summary:
Its space group is No. 123. The value obtained for the total energy is -21.99 eV/atom. The calculation puts the formation enthalpy at 0 K at 87.4 kJ/mol of atoms.

# K2RuSe

K2RuSe at its PBEsol-relaxed geometry (SCAN, Alexandria).

POSCAR file:
```
K2RuSe
1.0
4.997 0.000 0.000
2.499 4.328 0.000
2.499 1.443 4.080
K Ru Se
2 1 1
Direct
0.000 0.000 0.000 K
0.750 0.750 0.750 K
0.500 0.500 0.500 Ru
0.250 0.250 0.250 Se
```

Summary:
Its space group is No. 216. The value obtained for the total energy is -17.52 eV/atom. Its uncorrected formation energy is 1.5 eV/f.u.

# KSi2Ru

KSi2Ru at its PBEsol-relaxed geometry (SCAN, Alexandria).

POSCAR file:
```
KSi2Ru
1.0
3.185 0.000 0.000
0.000 4.398 0.000
0.000 0.000 4.790
K Ru Si
1 1 2
Direct
0.500 0.500 0.000 K
0.000 0.500 0.500 Ru
0.000 0.000 0.000 Si
0.500 0.000 0.500 Si
```

Summary:
Its space group is No. 47. The value obtained for the total energy is -14.69 eV/atom. Its uncorrected formation energy is 4.4 eV/f.u.

# KSiRu2

KSiRu2 at its PBEsol-relaxed geometry (SCAN, Alexandria).

POSCAR file:
```
KSiRu2
1.0
2.513 0.000 0.000
0.000 5.185 0.014
0.000 -1.837 4.849
K Ru Si
1 2 1
Direct
0.500 0.500 0.500 K
0.000 0.500 0.000 Ru
0.000 0.000 0.500 Ru
0.500 0.000 0.000 Si
```

Summary:
Its space group is No. 65. The value obtained for the total energy is -20.87 eV/atom. Its uncorrected formation energy is 4.5 eV/f.u.

# KSiRu

KSiRu at its PBEsol-relaxed geometry (SCAN, Alexandria).

POSCAR file:
```
KSiRu
1.0
-3.011 2.548 -1.860
-0.648 -0.180 -4.308
-3.665 -1.754 -1.582
K Ru Si
1 1 1
Direct
0.500 0.500 0.500 K
0.250 0.250 0.250 Ru
0.000 0.000 0.000 Si
```

Summary:
Its space group is No. 216. The calculation puts the energy above the most stable polymorph in this dataset at 0 meV/atom. The value obtained for the total energy is -16.76 eV/atom. Its uncorrected formation energy is 2.9 eV/f.u.

# K2SiRuW

K2SiRuW at its PBEsol-relaxed geometry (SCAN, Alexandria).

POSCAR file:
```
K2SiRuW
1.0
4.441 0.000 0.000
0.000 6.259 0.000
0.000 0.000 6.259
Ru K Si W
1 2 1 1
Direct
0.500 0.000 0.000 Ru
0.000 0.000 0.500 K
0.000 0.500 0.000 K
0.500 0.500 0.500 Si
0.000 0.000 0.000 W
```

Summary:
Its space group is No. 123. The value obtained for the total energy is -24.32 eV/atom. Its uncorrected formation energy is 9.6 eV/f.u.

Going through the records in order, we get density of states at the Fermi level values of 1.0606, 1.3323, 0.5283, 0.6199, 0.9875, 0.9033, 0.7646, 0.6108, 0.4263, 0.6947, 0.7375, 0.9256 states/eV/atom.
Going through the records in order, we get volume values of 85.2, 70.0, 92.0, 75.2, 68.0, 114.1, 121.6, 88.2, 67.1, 63.3, 58.6, 174.0 Å³ per cell.